Computed, not measured: an optimized crystal structure of BiSCl at the PBE level of DFT.

Lattice parameters (Å, degrees): 6.7970 6.7970 6.7970 90.00 90.00 90.00
Sites, in units of the cell vectors:
Bi 0.0000 0.0000 0.0000
Bi 0.0000 0.5000 0.5000
Bi 0.5000 0.0000 0.5000
Bi 0.5000 0.5000 0.0000
S 0.2500 0.2500 0.2500
S 0.2500 0.7500 0.7500
S 0.7500 0.2500 0.7500
S 0.7500 0.7500 0.2500
Cl 0.2500 0.2500 0.7500
Cl 0.2500 0.7500 0.2500
Cl 0.7500 0.2500 0.2500
Cl 0.7500 0.7500 0.7500

Summary:
Formation energy (no corrections), eV per atom: -0.486
V, A^3/atom: 26.17
M_tot, μB/f.u.: 0.000
Electronic total energy, eV per atom: -3.77